Record 1
The following is a DFT calculation (PBE) of Tl17AgHg11 after structural relaxation.

Structure (extended XYZ):
```
29
Lattice="5.918 -8.372 0.000 5.918 8.372 0.000 -5.917 0.000 8.354" Properties=species:S:1:pos:R:3 pbc="T T T"
Tl 0.000 0.000 0.000
Tl 3.807 5.367 0.027
Tl 1.675 5.656 3.363
Tl -3.733 0.000 5.380
Tl -1.594 3.326 5.694
Tl 1.744 2.615 5.094
Tl -0.354 0.000 5.945
Tl 4.251 3.247 2.709
Tl 2.142 0.000 2.980
Tl -1.594 -3.326 5.694
Tl 6.431 2.255 0.016
Tl 1.744 -2.615 5.094
Tl 5.568 0.000 2.552
Tl 3.807 -5.367 0.027
Tl 6.431 -2.255 0.016
Tl 1.675 -5.656 3.363
Tl 4.251 -3.247 2.709
Ag 2.601 0.000 6.761
Hg 4.805 6.810 3.067
Hg 1.148 5.256 6.802
Hg 3.332 1.503 0.016
Hg 6.970 5.291 1.569
Hg 3.332 -1.503 0.016
Hg 4.819 1.549 5.459
Hg 8.598 0.000 1.333
Hg 1.148 -5.256 6.802
Hg 4.819 -1.549 5.459
Hg 4.805 -6.810 3.067
Hg 6.970 -5.291 1.569
```

DOS at the Fermi energy: 0.2767 states/eV per atom
M_tot: 0.0 μB per formula unit

---

Record 2
The following is a DFT calculation (PBE) of CaLa2NpP4 after structural relaxation.

Structure (extended XYZ):
```
8
Lattice="7.169 0.000 0.000 0.000 4.167 0.000 -2.366 0.000 6.780" Properties=species:S:1:pos:R:3 pbc="T T T"
Ca 0.000 0.000 0.000
La 2.401 0.000 3.390
La 3.584 2.084 0.000
Np -1.183 2.084 3.390
P -0.074 0.000 4.977
P 1.071 2.084 1.775
P 3.731 2.084 5.005
P 4.876 0.000 1.803
```

DOS at the Fermi energy: 1.2749 states/eV per atom
M_tot: 2.9 μB per formula unit

---

Record 3
The following is a DFT calculation (PBE) of Ac2Pr3Sm8 after structural relaxation.

Structure (extended XYZ):
```
13
Lattice="3.942 -10.915 0.000 3.942 10.915 0.000 0.000 0.000 5.702" Properties=species:S:1:pos:R:3 pbc="T T T"
Ac 3.942 5.663 0.000
Ac 3.942 -5.663 0.000
Pr 0.000 0.000 0.000
Pr 2.328 0.000 2.851
Pr 5.557 0.000 2.851
Sm 3.942 8.227 2.851
Sm 2.285 2.265 0.000
Sm 3.942 3.420 2.851
Sm 2.285 -2.265 0.000
Sm 5.599 2.265 0.000
Sm 3.942 -3.420 2.851
Sm 5.599 -2.265 0.000
Sm 3.942 -8.227 2.851
```

DOS at the Fermi energy: 1.6151 states/eV per atom
M_tot: 0.0 μB per formula unit

---

Record 4
The following is a DFT calculation (PBE) of Tb2PrDy6Tm3 after structural relaxation.

Structure (extended XYZ):
```
12
Lattice="3.071 -5.315 0.000 3.071 5.315 0.000 -2.043 0.000 11.568" Properties=species:S:1:pos:R:3 pbc="T T T"
Tb 3.071 3.543 0.000
Tb 3.071 -3.543 0.000
Pr 3.071 0.000 0.000
Dy -0.002 1.775 8.633
Dy 1.023 0.000 2.933
Dy -0.002 -1.775 8.633
Dy 4.100 1.775 2.935
Dy 3.075 0.000 8.635
Dy 4.100 -1.775 2.935
Tm -1.021 0.000 5.784
Tm 2.049 1.774 5.784
Tm 2.049 -1.774 5.784
```

DOS at the Fermi energy: 1.3171 states/eV per atom
M_tot: 0.0 μB per formula unit

---

For the records above, the corresponding calculated total energy values read -1.594; -7.037; -4.414; -4.569 eV/atom.